Here is a relaxed AlCu2Te crystal from Alexandria via LeMat-Bulk. Energies are from GGA-PBE.

uncorrected formation energy = 0.079 eV/atom
Fermi-level density of states = 0.427 states/eV per atom

Unit cell a=4.253 b=4.253 c=5.531 alpha=101.90 beta=101.90 gamma=46.82
Sites, in units of the cell vectors:
Al 0.000 0.000 0.000
Cu 0.259 0.259 0.815
Cu 0.741 0.741 0.185
Te 0.500 0.500 0.500

***

Here is a relaxed SrSi3Pt3 crystal from Alexandria via LeMat-Bulk. Energies are from GGA-PBE.

uncorrected formation energy = -0.732 eV/atom
Fermi-level density of states = 0.644 states/eV per atom

Unit cell a=6.689 b=6.689 c=6.689 alpha=90.00 beta=90.00 gamma=90.00
Sites, in units of the cell vectors:
Sr 0.000 0.000 0.000
Sr 0.500 0.500 0.500
Si 0.000 0.250 0.500
Si 0.000 0.750 0.500
Si 0.250 0.500 0.000
Si 0.500 0.000 0.250
Si 0.500 0.000 0.750
Si 0.750 0.500 0.000
Pt 0.000 0.500 0.250
Pt 0.000 0.500 0.750
Pt 0.250 0.000 0.500
Pt 0.500 0.250 0.000
Pt 0.500 0.750 0.000
Pt 0.750 0.000 0.500